Record 1
Compound: NiAgBi3
Source: Alexandria via LeMat-Bulk
Functional: PBE
Structure: relaxed

abc: 5.181 5.181 5.181
angles: 90.00 90.00 90.00
Element x y z (fractional)
Ni 0.000 0.000 0.000
Bi 0.500 0.000 0.000
Bi 0.000 0.500 0.000
Bi 0.000 0.000 0.500
Ag 0.500 0.500 0.500

As for the density of states at the Fermi level: 0.68 states/eV per atom. The space group is Pm-3m, No. 221. The value obtained for the formation energy is 0.36 eV/atom.

---

Record 2
Compound: CaNdSi
Source: Alexandria via LeMat-Bulk
Functional: PBE
Structure: relaxed

abc: 5.030 5.030 5.030
angles: 60.00 60.00 60.00
Element x y z (fractional)
Ca 0.000 0.000 0.000
Nd 0.500 0.500 0.500
Si 0.250 0.250 0.250

As for the density of states at the Fermi level: 0.76 states/eV per atom. The space group is F-43m, No. 216. The total energy comes out at -4.48 eV per atom.

---

Record 3
Compound: Pr2Cd16Ga
Source: Alexandria via LeMat-Bulk
Functional: PBE
Structure: relaxed

abc: 7.660 7.660 7.660
angles: 82.88 82.88 82.88
Element x y z (fractional)
Cd 0.837 0.357 0.357
Cd 0.000 0.698 0.303
Cd 0.357 0.837 0.357
Cd 0.698 0.303 0.000
Cd 0.643 0.165 0.643
Cd 0.303 0.698 0.000
Cd 0.303 0.000 0.698
Cd 0.357 0.357 0.837
Cd 0.000 0.303 0.698
Cd 0.091 0.091 0.091
Cd 0.499 0.002 0.002
Cd 0.698 0.000 0.303
Cd 0.002 0.002 0.499
Cd 0.643 0.643 0.165
Cd 0.165 0.643 0.643
Cd 0.002 0.499 0.002
Pr 0.677 0.677 0.677
Pr 0.329 0.329 0.329
Ga 0.896 0.896 0.896

As for the density of states at the Fermi level: 0.31 states/eV per atom. The space group is R3m, No. 160. The value obtained for the formation energy is -0.15 eV/atom.

---

Record 4
Compound: Nd2Mg2TcGe4
Source: Alexandria via LeMat-Bulk
Functional: PBE
Structure: relaxed

abc: 6.404 6.404 6.404
angles: 92.12 118.78 118.78
Site moments in Bohr magnetons follow the coordinates.
Element x y z (fractional)
Ge 0.542 0.271 0.271  0.01
Ge 0.458 0.729 0.729  0.01
Ge 0.000 0.271 0.729  0.01
Ge 0.000 0.729 0.271  0.01
Nd 0.500 0.750 0.250  0.02
Nd 0.500 0.250 0.750  0.02
Mg 0.000 0.704 0.704  0.00
Mg 0.000 0.296 0.296  0.00
Tc 0.000 0.000 0.000  0.42

As for the density of states at the Fermi level: 0.72 states/eV per atom. The space group is I4/mmm, No. 139. The value obtained for the formation energy is -0.37 eV/atom.